# RbNiF

Crystalline RbNiF at its relaxed geometry (GGA+U, Alexandria via LeMat-Bulk).

a b c (Å): 3.5820 3.4685 10.8106
angles (deg): 80.86 71.24 90.00
Closest atoms and distances in Å follow each position.
Fractional coordinates of all 6 atoms:
1 Ni 0.6942 0.2357 0.6174  4 Ni 2.57
2 Ni 0.2530 0.7661 0.5568  1 F 2.01
3 Rb 0.0448 0.4165 0.2541  6 F 2.70-2.92
4 Rb 0.8827 0.5869 0.9076  4 F 2.75
5 F 0.4444 0.8655 0.3573  1 Ni 2.01
6 F 0.2712 0.0301 0.0221  6 Rb 2.75-2.92

V = 20.896 Å³ per atom
total magnetic moment = 1.04 μB per formula unit
polymorph energy (0 for the lowest one) = 0.00 eV per formula unit
mass density = 4.32 g/cm3
D(E_F) = 0.29 states/eV/f.u.